Below is a relaxed CrInSe2 crystal, with properties calculated at the PBE-GGA level.

Cell: 3.995 3.995 5.634 Å, 90.00 90.00 90.00°
Space group P4/mmm (No. 123)
Inequivalent atoms, fractional coordinates:
Cr: 0.000 0.000 0.000 (multiplicity 1)
In: 0.500 0.500 0.500 (multiplicity 1)
Se: 0.000 0.000 0.500 (multiplicity 1)
Se: 0.500 0.500 0.000 (multiplicity 1)

Properties
ΔE_f (raw) = -0.29 eV per atom
energy = -5.13 eV/atom
size of the total moment = 1.052 μB per atom

***

Below is a relaxed CrIn3Se crystal, with properties calculated at the PBE-GGA level.

Cell: 5.469 5.469 5.469 Å, 90.00 90.00 90.00°
Space group Pm-3m (No. 221)
Inequivalent atoms, fractional coordinates:
Cr: 0.000 0.000 0.000 (multiplicity 1)
In: 0.000 0.500 0.500 (multiplicity 3)
Se: 0.500 0.500 0.500 (multiplicity 1)

Properties
ΔE_f (raw) = 0.73 eV per atom
E above lowest polymorph = 0.349 eV per atom
energy = -3.53 eV/atom
size of the total moment = 0.977 μB per atom

***

Below is a relaxed CrIn2Se crystal, with properties calculated at the PBE-GGA level.

Cell: 4.459 4.459 9.103 Å, 90.00 90.00 90.00°
Space group I-4m2 (No. 119)
Inequivalent atoms, fractional coordinates:
Cr: 0.000 0.000 0.000 (multiplicity 2)
In: 0.000 0.000 0.500 (multiplicity 2)
In: 0.000 0.500 0.750 (multiplicity 2)
Se: 0.000 0.500 0.250 (multiplicity 2)

Properties
ΔE_f (raw) = 0.23 eV per atom
energy = -4.42 eV/atom
size of the total moment = 1.078 μB per atom

***

Below is a relaxed Cr2InSe crystal, with properties calculated at the PBE-GGA level.

Cell: 3.247 4.686 5.231 Å, 90.00 107.96 90.00°
Space group Pm (No. 6)
Inequivalent atoms, fractional coordinates:
Cr: 0.000 0.000 0.000 (multiplicity 1)
Cr: 0.368 0.500 0.738 (multiplicity 1)
In: 0.635 0.500 0.266 (multiplicity 1)
Se: 0.306 0.000 0.611 (multiplicity 1)

Properties
ΔE_f (raw) = 0.34 eV per atom
E above lowest polymorph = 0.219 eV per atom
energy = -6.03 eV/atom
size of the total moment = 1.524 μB per atom

***

Below is a relaxed CrIn6Se8 crystal, with properties calculated at the PBE-GGA level.

Cell: 12.6199 12.6199 8.7635 Å, 90.00 90.00 120.00°
Space group R-3 (No. 148, hexagonal axes)
Inequivalent atoms, fractional coordinates:
Cr: 0.0000 0.0000 0.0000 (multiplicity 3)
In: 0.0032 0.7813 0.3113 (multiplicity 18)
Se: 0.0000 0.0000 0.2870 (multiplicity 6)
Se: 0.0244 0.4646 0.7697 (multiplicity 18)

Properties
ΔE_f (raw) = -0.29 eV per atom
energy = -3.89 eV/atom
size of the total moment = 0.309 μB per atom

***

Below is a relaxed Cr5In3Se12 crystal, with properties calculated at the PBE-GGA level.

Cell: 15.700 15.700 15.700 Å, 90.00 90.00 90.00°
Space group Ia-3d (No. 230)
Inequivalent atoms, fractional coordinates:
Cr: 0.000 0.000 0.000 (multiplicity 16)
Cr: 0.000 0.250 0.375 (multiplicity 24)
In: 0.000 0.250 0.125 (multiplicity 24)
Se: 0.031 0.053 0.649 (multiplicity 96)

Properties
ΔE_f (raw) = -0.31 eV per atom
energy = -5.22 eV/atom
size of the total moment = 0.520 μB per atom

***

Below is a relaxed CrInSe2 crystal, with properties calculated at the PBE-GGA level.

Cell: 3.8706 3.8706 23.8102 Å, 90.00 90.00 120.00°
Space group R3m (No. 160, hexagonal axes)
Inequivalent atoms, fractional coordinates:
Cr: 0.0000 0.0000 0.0000 (multiplicity 3)
In: 0.0000 0.0000 0.7562 (multiplicity 3)
Se: 0.0000 0.0000 0.2904 (multiplicity 3)
Se: 0.0000 0.0000 0.4837 (multiplicity 3)

Properties
ΔE_f (raw) = -0.20 eV per atom
energy = -5.04 eV/atom
size of the total moment = 0.769 μB per atom

***

Below is a relaxed Cr5InSe8 crystal, with properties calculated at the PBE-GGA level.

Cell: 19.002 3.673 9.018 Å, 90.00 105.20 90.00°
Space group C2/m (No. 12)
Inequivalent atoms, fractional coordinates:
Cr: 0.000 0.000 0.000 (multiplicity 2)
Cr: 0.157 0.500 0.974 (multiplicity 4)
Cr: 0.204 0.500 0.334 (multiplicity 4)
In: 0.000 0.500 0.500 (multiplicity 2)
Se: 0.075 0.500 0.154 (multiplicity 4)
Se: 0.083 0.000 0.821 (multiplicity 4)
Se: 0.170 0.000 0.491 (multiplicity 4)
Se: 0.238 0.000 0.155 (multiplicity 4)

Properties
ΔE_f (raw) = -0.51 eV per atom
energy = -6.13 eV/atom
size of the total moment = 1.072 μB per atom

***

Below is a relaxed CrInSe2 crystal, with properties calculated at the PBE-GGA level.

Cell: 3.468 4.721 5.110 Å, 90.00 90.00 90.00°
Space group Pmmm (No. 47)
Inequivalent atoms, fractional coordinates:
Cr: 0.000 0.000 0.000 (multiplicity 1)
In: 0.000 0.500 0.500 (multiplicity 1)
Se: 0.500 0.000 0.500 (multiplicity 1)
Se: 0.500 0.500 0.000 (multiplicity 1)

Properties
ΔE_f (raw) = 0.04 eV per atom
energy = -4.79 eV/atom
size of the total moment = 0.976 μB per atom

***

Below is a relaxed Cr2InSe crystal, with properties calculated at the PBE-GGA level.

Cell: 6.725 6.725 6.725 Å, 90.00 90.00 90.00°
Space group F-43m (No. 216)
Inequivalent atoms, fractional coordinates:
Cr: 0.000 0.000 0.000 (multiplicity 4)
Cr: 0.250 0.250 0.250 (multiplicity 4)
In: 0.250 0.250 0.750 (multiplicity 4)
Se: 0.000 0.000 0.500 (multiplicity 4)

Properties
ΔE_f (raw) = 0.47 eV per atom
E above lowest polymorph = 0.349 eV per atom
energy = -5.90 eV/atom
size of the total moment = 0.056 μB per atom

***

Below is a relaxed Cr2InSe crystal, with properties calculated at the PBE-GGA level.

Cell: 6.753 6.753 6.753 Å, 90.00 90.00 90.00°
Space group Fm-3m (No. 225)
Inequivalent atoms, fractional coordinates:
Cr: 0.250 0.250 0.250 (multiplicity 8)
In: 0.000 0.000 0.000 (multiplicity 4)
Se: 0.000 0.000 0.500 (multiplicity 4)

Properties
ΔE_f (raw) = 0.47 eV per atom
E above lowest polymorph = 0.342 eV per atom
energy = -5.90 eV/atom
size of the total moment = 2.080 μB per atom

***

Below is a relaxed CrInSe2 crystal, with properties calculated at the PBE-GGA level.

Cell: 7.258 7.258 7.976 Å, 90.00 90.00 90.00°
Space group I-42d (No. 122)
Inequivalent atoms, fractional coordinates:
Cr: 0.000 0.000 0.000 (multiplicity 4)
In: 0.000 0.000 0.500 (multiplicity 4)
Se: 0.171 0.250 0.125 (multiplicity 8)

Properties
ΔE_f (raw) = -0.27 eV per atom
energy = -5.11 eV/atom
size of the total moment = 0.750 μB per atom

***

Below is a relaxed CrIn2Se crystal, with properties calculated at the PBE-GGA level.

Cell: 5.961 8.180 3.664 Å, 90.00 90.00 90.00°
Space group Cmmm (No. 65)
Inequivalent atoms, fractional coordinates:
Cr: 0.000 0.000 0.000 (multiplicity 2)
In: 0.250 0.250 0.500 (multiplicity 4)
Se: 0.000 0.500 0.000 (multiplicity 2)

Properties
ΔE_f (raw) = 0.19 eV per atom
energy = -4.46 eV/atom
size of the total moment = 1.040 μB per atom

***

Below is a relaxed CrIn2SiSe crystal, with properties calculated at the PBE-GGA level.

Cell: 5.198 5.198 5.008 Å, 90.00 90.00 90.00°
Space group P4/mmm (No. 123)
Inequivalent atoms, fractional coordinates:
Cr: 0.000 0.000 0.000 (multiplicity 1)
In: 0.000 0.500 0.500 (multiplicity 2)
Si: 0.500 0.500 0.500 (multiplicity 1)
Se: 0.500 0.500 0.000 (multiplicity 1)

Properties
ΔE_f (raw) = 0.65 eV per atom
energy = -4.15 eV/atom
size of the total moment = 1.013 μB per atom

***

Below is a relaxed SrCr2InSe crystal, with properties calculated at the PBE-GGA level.

Cell: 6.000 6.000 5.617 Å, 90.00 90.00 90.00°
Space group P4/mmm (No. 123)
Inequivalent atoms, fractional coordinates:
Sr: 0.000 0.000 0.000 (multiplicity 1)
Cr: 0.000 0.500 0.000 (multiplicity 2)
In: 0.500 0.500 0.500 (multiplicity 1)
Se: 0.000 0.000 0.500 (multiplicity 1)

Properties
ΔE_f (raw) = 1.14 eV per atom
energy = -4.29 eV/atom
size of the total moment = 2.186 μB per atom

***

Below is a relaxed TaCr2InSe6 crystal, with properties calculated at the PBE-GGA level.

Cell: 6.627 6.628 7.098 Å, 62.18 62.23 60.01°
Space group P1 (No. 1)
Inequivalent atoms, fractional coordinates:
Ta: 0.000 0.000 0.000 (multiplicity 1)
Cr: 0.314 0.314 0.058 (multiplicity 1)
Cr: 0.805 0.805 0.585 (multiplicity 1)
In: 0.516 0.516 0.452 (multiplicity 1)
Se: 0.079 0.717 0.803 (multiplicity 1)
Se: 0.177 0.583 0.294 (multiplicity 1)
Se: 0.400 0.080 0.803 (multiplicity 1)
Se: 0.583 0.946 0.294 (multiplicity 1)
Se: 0.717 0.400 0.803 (multiplicity 1)
Se: 0.946 0.178 0.294 (multiplicity 1)

Properties
ΔE_f (raw) = -0.48 eV per atom
energy = -5.95 eV/atom
size of the total moment = 0.718 μB per atom

***

Below is a relaxed Tl2CrInSe crystal, with properties calculated at the PBE-GGA level.

Cell: 5.666 5.666 5.261 Å, 90.00 90.00 90.00°
Space group P4/mmm (No. 123)
Inequivalent atoms, fractional coordinates:
Tl: 0.000 0.500 0.000 (multiplicity 2)
Cr: 0.000 0.000 0.500 (multiplicity 1)
In: 0.000 0.000 0.000 (multiplicity 1)
Se: 0.500 0.500 0.500 (multiplicity 1)

Properties
ΔE_f (raw) = 0.68 eV per atom
energy = -3.44 eV/atom
size of the total moment = 0.868 μB per atom

***

Below is a relaxed Zr2CrIn2Se6 crystal, with properties calculated at the PBE-GGA level.

Cell: 6.551 11.337 8.136 Å, 90.00 106.31 90.00°
Space group C2/m (No. 12)
Inequivalent atoms, fractional coordinates:
Zr: 0.000 0.169 0.000 (multiplicity 4)
Cr: 0.000 0.500 0.000 (multiplicity 2)
In: 0.000 0.327 0.500 (multiplicity 4)
Se: 0.234 0.340 0.202 (multiplicity 8)
Se: 0.249 0.500 0.802 (multiplicity 4)

Properties
ΔE_f (raw) = -0.86 eV per atom
energy = -5.69 eV/atom
size of the total moment = 0.295 μB per atom

***

Below is a relaxed CrInSi2 crystal, with properties calculated at the PBE-GGA level.

Cell: 3.487 4.647 8.380 Å, 90.00 90.00 90.00°
Space group Imm2 (No. 44)
Inequivalent atoms, fractional coordinates:
Cr: 0.000 0.000 0.000 (multiplicity 2)
In: 0.000 0.500 0.777 (multiplicity 2)
Si: 0.000 0.000 0.552 (multiplicity 2)
Si: 0.000 0.500 0.266 (multiplicity 2)

Properties
ΔE_f (raw) = 0.43 eV per atom
E above lowest polymorph = 0.298 eV per atom
energy = -5.37 eV/atom
size of the total moment = 0.753 μB per atom

***

Below is a relaxed CrInSi2 crystal, with properties calculated at the PBE-GGA level.

Cell: 4.021 4.021 8.186 Å, 90.00 90.00 90.00°
Space group I4/mmm (No. 139)
Inequivalent atoms, fractional coordinates:
Cr: 0.000 0.000 0.000 (multiplicity 2)
In: 0.000 0.000 0.500 (multiplicity 2)
Si: 0.000 0.500 0.250 (multiplicity 4)

Properties
ΔE_f (raw) = 0.45 eV per atom
E above lowest polymorph = 0.317 eV per atom
energy = -5.35 eV/atom
size of the total moment = 0.751 μB per atom

***

Below is a relaxed Cr2InSi crystal, with properties calculated at the PBE-GGA level.

Cell: 8.519 3.331 4.677 Å, 90.00 113.65 90.00°
Space group C2/m (No. 12)
Inequivalent atoms, fractional coordinates:
Cr: 0.222 0.000 0.192 (multiplicity 4)
In: 0.000 0.000 0.500 (multiplicity 2)
Si: 0.000 0.500 0.000 (multiplicity 2)

Properties
ΔE_f (raw) = 0.37 eV per atom
energy = -6.49 eV/atom
size of the total moment = 0.768 μB per atom

***

Below is a relaxed CrIn2Si2 crystal, with properties calculated at the PBE-GGA level.

Cell: 3.630 5.275 10.302 Å, 92.05 100.11 109.88°
Space group P-1 (No. 2)
Inequivalent atoms, fractional coordinates:
Cr: 0.126 0.440 0.312 (multiplicity 2)
In: 0.145 0.115 0.675 (multiplicity 2)
In: 0.408 0.194 0.117 (multiplicity 2)
Si: 0.122 0.635 0.104 (multiplicity 2)
Si: 0.344 0.649 0.540 (multiplicity 2)

Properties
ΔE_f (raw) = 0.17 eV per atom
energy = -5.02 eV/atom
size of the total moment = 0.000 μB per atom

***

Below is a relaxed Cr2InSi2 crystal, with properties calculated at the PBE-GGA level.

Cell: 4.176 4.176 9.497 Å, 90.00 90.00 90.00°
Space group I4/mmm (No. 139)
Inequivalent atoms, fractional coordinates:
Cr: 0.000 0.500 0.250 (multiplicity 4)
In: 0.000 0.000 0.000 (multiplicity 2)
Si: 0.000 0.000 0.377 (multiplicity 4)

Properties
ΔE_f (raw) = 0.17 eV per atom
E above lowest polymorph = 0.088 eV per atom
energy = -6.40 eV/atom
size of the total moment = 0.885 μB per atom